# 1
Here is a geometry-optimized CrReOs2 structure from Alexandria. Energies are from GGA-PBE.

Calculated values
N(E_F) = 8.73 states/eV/cell
energy = -10.26 eV/atom
energy relative to the elements = 0.871 eV/atom
relative energy among the computed polymorphs = 797 meV/atom

Lattice parameters (Å, degrees): 9.0145 9.0145 9.0145 155.58 155.58 34.81
Last column: nearest neighbours and their distance in Å.
Element x y z (fractional)
Cr: 0.0000 0.0000 0.0000  4 Os 2.50, 4 Re 2.70
Cr: 0.7500 0.2500 0.5000  4 Os 2.50, 4 Re 2.70
Re: 0.2500 0.7500 0.5000  4 Os 2.58, 4 Cr 2.70
Re: 0.5000 0.5000 0.0000  4 Os 2.58, 4 Cr 2.70
Os: 0.0969 0.6250 0.9719  2 Cr 2.50, 2 Os 2.55, 2 Re 2.58
Os: 0.3750 0.3469 0.4719  2 Cr 2.50, 2 Os 2.55, 2 Re 2.58
Os: 0.6531 0.1250 0.0281  2 Cr 2.50, 2 Os 2.55, 2 Re 2.58
Os: 0.8750 0.9031 0.5281  2 Cr 2.50, 2 Os 2.55, 2 Re 2.58

---

# 2
Here is a geometry-optimized Pm12Nd6Sm structure from Alexandria. Energies are from GGA-PBE.

Calculated values
N(E_F) = 31.88 states/eV/cell
energy = -4.37 eV/atom
energy relative to the elements = 0.380 eV/atom
relative energy among the computed polymorphs = 248 meV/atom

Lattice parameters (Å, degrees): 9.8930 9.8930 9.8930 111.05 111.05 111.05
Last column: nearest neighbours and their distance in Å.
Element x y z (fractional)
Pm: 0.0000 0.3918 0.6082  5 Pm 3.45-3.53, 4 Nd 3.57-3.74
Pm: 0.0000 0.6082 0.3918  5 Pm 3.45-3.53, 4 Nd 3.57-3.74
Pm: 0.2461 0.2461 0.5016  1 Sm 2.85
Pm: 0.2461 0.5016 0.2461  1 Sm 2.85
Pm: 0.3918 0.0000 0.6082  5 Pm 3.45-3.53, 4 Nd 3.57-3.74
Pm: 0.3918 0.6082 0.0000  5 Pm 3.45-3.53, 4 Nd 3.57-3.74
Pm: 0.4984 0.7539 0.7539  1 Sm 2.85
Pm: 0.5016 0.2461 0.2461  1 Sm 2.85
Pm: 0.6082 0.0000 0.3918  5 Pm 3.45-3.53, 4 Nd 3.57-3.74
Pm: 0.6082 0.3918 0.0000  5 Pm 3.45-3.53, 4 Nd 3.57-3.74
Pm: 0.7539 0.4984 0.7539  1 Sm 2.85
Pm: 0.7539 0.7539 0.4984  1 Sm 2.85
Nd: 0.1422 0.1422 0.7606  6 Pm 3.37-3.74, 2 Nd 3.60
Nd: 0.1422 0.7606 0.1422  6 Pm 3.37-3.74, 2 Nd 3.60
Nd: 0.2394 0.8578 0.8578  6 Pm 3.37-3.74, 2 Nd 3.60
Nd: 0.7606 0.1422 0.1422  6 Pm 3.37-3.74, 2 Nd 3.60
Nd: 0.8578 0.2394 0.8578  6 Pm 3.37-3.74, 2 Nd 3.60
Nd: 0.8578 0.8578 0.2394  6 Pm 3.37-3.74, 2 Nd 3.60
Sm: 0.5000 0.5000 0.5000  6 Pm 2.85

---

# 3
Here is a geometry-optimized TlSb3O structure from Alexandria. Energies are from GGA-PBE.

Calculated values
N(E_F) = 6.72 states/eV/cell
raw formation energy = 18 meV per atom
energy = -3.92 eV/atom
relative energy among the computed polymorphs = 0 meV/atom

Lattice parameters (Å, degrees): 4.9353 4.9353 4.9353 90.00 90.00 90.00
Last column: nearest neighbours and their distance in Å.
Element x y z (fractional)
Tl: 0.0000 0.0000 0.0000  12 Sb 3.49
Sb: 0.0000 0.5000 0.5000  2 O 2.47
Sb: 0.5000 0.0000 0.5000  2 O 2.47
Sb: 0.5000 0.5000 0.0000  2 O 2.47
O: 0.5000 0.5000 0.5000  6 Sb 2.47

---

# 4
Here is a geometry-optimized ErSc2Se4 structure from Alexandria. Energies are from GGA-PBE.

Calculated values
N(E_F) = 5.45 states/eV/cell
raw formation energy = -1729 meV per atom
energy = -6.18 eV/atom

Lattice parameters (Å, degrees): 6.6587 6.6587 13.3430 90.00 90.00 146.48
Last column: nearest neighbours and their distance in Å.
Element x y z (fractional)
Er: 0.1252 0.8748 0.7500  6 Se 2.84-2.90
Er: 0.8748 0.1252 0.2500  6 Se 2.84-2.90
Sc: 0.3722 0.6278 0.5658  6 Se 2.67-2.77
Sc: 0.3722 0.6278 0.9342  6 Se 2.67-2.77
Sc: 0.6278 0.3722 0.0658  6 Se 2.67-2.77
Sc: 0.6278 0.3722 0.4342  6 Se 2.67-2.77
Se: 0.0000 0.0000 0.0000  4 Sc 2.67
Se: 0.0000 0.0000 0.5000  4 Sc 2.67
Se: 0.2742 0.7258 0.1188  3 Sc 2.76-2.77, 2 Er 2.90
Se: 0.2742 0.7258 0.3812  3 Sc 2.76-2.77, 2 Er 2.90
Se: 0.4613 0.5387 0.7500  2 Sc 2.71, 2 Er 2.84
Se: 0.5387 0.4613 0.2500  2 Sc 2.71, 2 Er 2.84
Se: 0.7258 0.2742 0.6188  3 Sc 2.76-2.77, 2 Er 2.90
Se: 0.7258 0.2742 0.8812  3 Sc 2.76-2.77, 2 Er 2.90

---

# 5
Here is a geometry-optimized BaSn structure from Alexandria. Energies are from GGA-PBE.

Calculated values
N(E_F) = 1.33 states/eV/cell
energy = -2.75 eV/atom
energy relative to the elements = 0.216 eV/atom

Lattice parameters (Å, degrees): 5.6890 5.6890 5.6890 60.00 60.00 60.00
Last column: nearest neighbours and their distance in Å.
Element x y z (fractional)
Ba: 0.0000 0.0000 0.0000  4 Sn 3.48
Sn: 0.2500 0.2500 0.2500  4 Ba 3.48

---

# 6
Here is a geometry-optimized Sc3Ga2Ni6 structure from Alexandria. Energies are from GGA-PBE.

Calculated values
N(E_F) = 12.57 states/eV/cell
energy = -6.01 eV/atom
energy relative to the elements = -0.577 eV/atom

Lattice parameters (Å, degrees): 7.4591 7.4591 7.4591 109.47 109.47 109.47
Last column: nearest neighbours and their distance in Å.
Element x y z (fractional)
Sc: 0.0000 0.2865 0.2865  4 Ni 2.65
Sc: 0.0000 0.7135 0.7135  4 Ni 2.65
Sc: 0.2865 0.0000 0.2865  4 Ni 2.65
Sc: 0.2865 0.2865 0.0000  4 Ni 2.65
Sc: 0.7135 0.0000 0.7135  4 Ni 2.65
Sc: 0.7135 0.7135 0.0000  4 Ni 2.65
Ga: 0.0000 0.0000 0.5000  6 Ni 2.43
Ga: 0.0000 0.5000 0.0000  6 Ni 2.43
Ga: 0.5000 0.0000 0.0000  6 Ni 2.43
Ga: 0.5000 0.5000 0.5000  6 Ni 2.43
Ni: 0.0000 0.3431 0.6569  2 Ga 2.43, 6 Ni 2.49-2.70, 2 Sc 2.65
Ni: 0.0000 0.6569 0.3431  2 Ga 2.43, 6 Ni 2.49-2.70, 2 Sc 2.65
Ni: 0.3139 0.6569 0.6569  2 Ga 2.43, 6 Ni 2.49-2.70, 2 Sc 2.65
Ni: 0.3431 0.0000 0.6569  2 Ga 2.43, 6 Ni 2.49-2.70, 2 Sc 2.65
Ni: 0.3431 0.3431 0.6861  2 Ga 2.43, 6 Ni 2.49-2.70, 2 Sc 2.65
Ni: 0.3431 0.6569 0.0000  2 Ga 2.43, 6 Ni 2.49-2.70, 2 Sc 2.65
Ni: 0.3431 0.6861 0.3431  2 Ga 2.43, 6 Ni 2.49-2.70, 2 Sc 2.65
Ni: 0.6569 0.0000 0.3431  2 Ga 2.43, 6 Ni 2.49-2.70, 2 Sc 2.65
Ni: 0.6569 0.3139 0.6569  2 Ga 2.43, 6 Ni 2.49-2.70, 2 Sc 2.65
Ni: 0.6569 0.3431 0.0000  2 Ga 2.43, 6 Ni 2.49-2.70, 2 Sc 2.65
Ni: 0.6569 0.6569 0.3139  2 Ga 2.43, 6 Ni 2.49-2.70, 2 Sc 2.65
Ni: 0.6861 0.3431 0.3431  2 Ga 2.43, 6 Ni 2.49-2.70, 2 Sc 2.65

---

# 7
Here is a geometry-optimized Pr2GaNi4Sn3 structure from Alexandria. Energies are from GGA-PBE.

Calculated values
N(E_F) = 7.63 states/eV/cell
energy = -5.31 eV/atom
energy relative to the elements = -0.542 eV/atom

Lattice parameters (Å, degrees): 4.3888 4.3888 10.1995 90.00 90.00 90.00
Last column: nearest neighbours and their distance in Å.
Element x y z (fractional)
Pr: 0.0000 0.5000 0.2486  6 Sn 3.34-3.37, 8 Ni 3.35-3.36, 2 Ga 3.37
Pr: 0.5000 0.0000 0.7514  6 Sn 3.34-3.37, 8 Ni 3.35-3.36, 2 Ga 3.37
Ga: 0.0000 0.0000 0.5000  4 Ni 2.53
Ni: 0.0000 0.0000 0.0000  4 Sn 2.56
Ni: 0.0000 0.5000 0.6239  3 Sn 2.53, 2 Ga 2.53
Ni: 0.5000 0.0000 0.3761  3 Sn 2.53, 2 Ga 2.53
Ni: 0.5000 0.5000 0.0000  4 Sn 2.56
Sn: 0.0000 0.5000 0.8715  5 Ni 2.53-2.56
Sn: 0.5000 0.0000 0.1285  5 Ni 2.53-2.56
Sn: 0.5000 0.5000 0.5000  4 Ni 2.53

---

# 8
Here is a geometry-optimized BeIn2P structure from Alexandria. Energies are from GGA-PBE.

Calculated values
N(E_F) = 1.44 states/eV/cell
energy = -3.28 eV/atom
energy relative to the elements = 0.370 eV/atom
relative energy among the computed polymorphs = 266 meV/atom

Lattice parameters (Å, degrees): 3.8512 3.8512 6.6166 106.97 106.97 60.75
Last column: nearest neighbours and their distance in Å.
Element x y z (fractional)
Be: 0.0000 0.0000 0.0000  6 In 2.68-2.70
In: 0.2522 0.2522 0.7577  3 Be 2.68-2.70, 3 P 2.74-2.75
In: 0.7478 0.7478 0.2424  3 Be 2.68-2.70, 3 P 2.74-2.75
P: 0.5000 0.5000 0.5000  6 In 2.74-2.75

---

# 9
Here is a geometry-optimized InTc2As structure from Alexandria. Energies are from GGA-PBE.

Calculated values
N(E_F) = 3.33 states/eV/cell
energy = -6.85 eV/atom
energy relative to the elements = 0.177 eV/atom
relative energy among the computed polymorphs = 143 meV/atom

Lattice parameters (Å, degrees): 8.9242 8.9242 8.9242 19.45 19.45 19.45
Last column: nearest neighbours and their distance in Å.
Element x y z (fractional)
In: 0.0000 0.0000 0.0000  3 Tc 2.87, 6 In 3.02, 3 As 3.12
Tc: 0.4981 0.4981 0.4981  3 As 2.53, 3 Tc 2.69
Tc: 0.7534 0.7534 0.7534  3 Tc 2.69, 3 In 2.87
As: 0.2346 0.2346 0.2346  3 Tc 2.53

---

# 10
Here is a geometry-optimized Tb4Er5Tl2 structure from Alexandria. Energies are from GGA-PBE.

Calculated values
N(E_F) = 16.61 states/eV/cell
energy = -4.18 eV/atom
energy relative to the elements = 0.004 eV/atom

Lattice parameters (Å, degrees): 8.5688 3.4925 11.2240 90.00 93.67 90.00
Last column: nearest neighbours and their distance in Å.
Element x y z (fractional)
Tb: 0.1442 0.0000 0.3877  2 Tl 3.35, 8 Er 3.49-3.71, 3 Tb 3.49-3.64
Tb: 0.2883 0.0000 0.9514  4 Tl 3.44-3.53, 3 Tb 3.49-3.72, 6 Er 3.49-3.65
Tb: 0.7117 0.0000 0.0486  4 Tl 3.44-3.53, 3 Tb 3.49-3.72, 6 Er 3.49-3.65
Tb: 0.8558 0.0000 0.6123  2 Tl 3.35, 8 Er 3.49-3.71, 3 Tb 3.49-3.64
Er: 0.2049 0.5000 0.6692  1 Tl 3.23, 4 Er 3.26-3.49, 2 Tb 3.49
Er: 0.4282 0.5000 0.2057  1 Tl 3.22, 4 Er 3.32-3.49, 4 Tb 3.49-3.55
Er: 0.5000 0.5000 0.5000  6 Er 3.26-3.49
Er: 0.5718 0.5000 0.7943  1 Tl 3.22, 4 Er 3.32-3.49, 4 Tb 3.49-3.55
Er: 0.7951 0.5000 0.3308  1 Tl 3.23, 4 Er 3.26-3.49, 2 Tb 3.49
Tl: 0.0580 0.5000 0.1372  3 Tl 3.18-3.49, 2 Er 3.22-3.23, 6 Tb 3.35-3.53
Tl: 0.9420 0.5000 0.8628  3 Tl 3.18-3.49, 2 Er 3.22-3.23, 6 Tb 3.35-3.53

---

> N(E_F) of number 2 (Pm12Nd6Sm)?

31.88 states/eV/cell

---

> Among the records above, which one has the lowest N(E_F)?

BaSn

---

> The highest N(E_F) belongs to which entry?

Pm12Nd6Sm